[1]
VASP calculation (PBE-GGA) on a geometry-optimized GdLuMgTc structure.

Lattice parameters (Å, degrees): 5.002 5.002 5.002 60.00 60.00 60.00
Fractional positions:
Gd1 0.000 0.000 0.000
Lu1 0.500 0.500 0.500
Mg1 0.750 0.750 0.750
Tc1 0.250 0.250 0.250

## Properties
* calculated formation energy: -0.021 eV per atom
* space-group type: No. 216
* crystal system: cubic

***

[2]
VASP calculation (PBE-GGA) on a geometry-optimized Ba2CaSiSn structure.

Lattice parameters (Å, degrees): 6.461 6.461 5.275 90.00 90.00 90.00
Fractional positions:
Ba1 0.000 0.500 0.000
Ba2 0.500 0.000 0.000
Ca1 0.000 0.000 0.000
Si1 0.000 0.000 0.500
Sn1 0.500 0.500 0.500

## Properties
* space-group type: No. 123
* crystal system: tetragonal
* formation energy without anion corrections: 532 meV per atom

***

[3]
VASP calculation (PBE-GGA) on a geometry-optimized LiScSO structure.

Lattice parameters (Å, degrees): 11.892 11.892 11.892 16.71 16.71 16.71
Fractional positions:
Li1 0.246 0.246 0.246
Li2 0.754 0.754 0.754
Sc1 0.000 0.000 0.000
Sc2 0.500 0.500 0.500
S1 0.377 0.377 0.377
S2 0.623 0.623 0.623
O1 0.195 0.195 0.195
O2 0.805 0.805 0.805

## Properties
* space-group type: No. 166
* crystal system: trigonal
* formation energy without anion corrections: -2228 meV per atom

***

[4]
VASP calculation (PBE-GGA) on a geometry-optimized BaSr3Pd structure.

Lattice parameters (Å, degrees): 11.591 11.591 11.591 145.06 145.06 50.25
Fractional positions:
Ba1 0.205 0.205 0.000
Ba2 0.795 0.795 0.000
Sr1 0.045 0.545 0.500
Sr2 0.128 0.377 0.751
Sr3 0.455 0.955 0.500
Sr4 0.623 0.374 0.751
Sr5 0.623 0.872 0.249
Sr6 0.626 0.377 0.249
Pd1 0.500 0.500 0.000
Pd2 0.750 0.250 0.500

## Properties
* calculated formation energy: -0.024 eV per atom
* space-group type: No. 119
* ΔE to the lowest computed polymorph: 0.275 eV per atom
* crystal system: tetragonal

***

[5]
VASP calculation (PBE-GGA) on a geometry-optimized LiBe2Se structure.

Lattice parameters (Å, degrees): 5.895 5.895 5.895 148.23 145.96 47.25
Fractional positions:
Li1 0.000 0.000 0.000
Be1 0.379 0.379 0.000
Be2 0.760 0.260 0.500
Se1 0.215 0.715 0.500

## Properties
* space-group type: No. 44
* crystal system: orthorhombic
* formation energy without anion corrections: 149 meV per atom

***

[6]
VASP calculation (PBE-GGA) on a geometry-optimized K2SrLa structure.

Lattice parameters (Å, degrees): 3.998 6.042 9.068 90.00 90.39 90.00
Fractional positions:
K1 0.000 0.000 0.000
K2 0.492 0.500 0.267
Sr1 0.497 0.500 0.720
La1 0.996 0.000 0.525

## Properties
* calculated formation energy: 0.302 eV per atom
* space-group type: No. 6
* ΔE to the lowest computed polymorph: 0.108 eV per atom
* crystal system: monoclinic